DFT (PBE-GGA) results for a relaxed structure of Ba3PS.

Values from the calculation:
Total energy: -3.878 eV per atom

Lattice parameters (Å, degrees): 5.9036 5.9036 5.9036 90.00 90.00 90.00
Last column: nearest neighbours and their distance in Å.
Fractional positions:
P 0.5000 0.5000 0.5000  12 Ba 4.17
S 0.0000 0.0000 0.0000  6 Ba 2.95
Ba 0.0000 0.5000 0.0000  2 S 2.95
Ba 0.0000 0.0000 0.5000  2 S 2.95
Ba 0.5000 0.0000 0.0000  2 S 2.95

---

DFT (PBE-GGA) results for a relaxed structure of BaPS3.

Values from the calculation:
Total energy: -2.809 eV per atom

Lattice parameters (Å, degrees): 5.8584 5.8584 5.8584 90.00 90.00 90.00
Last column: nearest neighbours and their distance in Å.
Fractional positions:
P 0.5000 0.5000 0.5000  12 S 4.14
S 0.0000 0.5000 0.0000  2 Ba 2.93
S 0.0000 0.0000 0.5000  2 Ba 2.93
S 0.5000 0.0000 0.0000  2 Ba 2.93
Ba 0.0000 0.0000 0.0000  6 S 2.93

---

DFT (PBE-GGA) results for a relaxed structure of BaP2S6.

Values from the calculation:
Total energy: -4.805 eV per atom

Lattice parameters (Å, degrees): 5.7707 9.3585 9.3585 96.65 84.99 84.99
Last column: nearest neighbours and their distance in Å.
Fractional positions:
Ba 0.2500 0.1359 0.8641  8 S 3.26-3.41
Ba 0.7500 0.8641 0.1359  8 S 3.26-3.41
P 0.2985 0.6391 0.7872  4 S 1.96-2.16
P 0.2015 0.2128 0.3609  4 S 1.96-2.16
P 0.7015 0.3609 0.2128  4 S 1.96-2.16
P 0.7985 0.7872 0.6391  4 S 1.96-2.16
S 0.4684 0.7142 0.5985  2 P 2.13-2.16
S 0.0316 0.4015 0.2858  2 P 2.13-2.16
S 0.5316 0.2858 0.4015  2 P 2.13-2.16
S 0.9684 0.5985 0.7142  2 P 2.13-2.16
S 0.9367 0.8189 0.4478  1 P 1.96
S 0.5633 0.5522 0.1811  1 P 1.96
S 0.0633 0.1811 0.5522  1 P 1.96
S 0.4367 0.4478 0.8189  1 P 1.96
S 0.2725 0.7961 0.9588  1 P 2.03
S 0.2275 0.0412 0.2039  1 P 2.03
S 0.7275 0.2039 0.0412  1 P 2.03
S 0.7725 0.9588 0.7961  1 P 2.03

---

DFT (PBE-GGA) results for a relaxed structure of Ba2PS2.

Values from the calculation:
Total energy: -4.590 eV per atom

Lattice parameters (Å, degrees): 8.0181 8.0181 4.3632 90.00 90.00 90.00
Last column: nearest neighbours and their distance in Å.
Fractional positions:
P 0.0000 0.0000 0.0000  4 S 3.02
P 0.5000 0.5000 0.0000  4 S 3.02
S 0.3417 0.8417 0.0000  6 Ba 3.00-3.36, 2 P 3.02
S 0.8417 0.6583 0.0000  6 Ba 3.00-3.36, 2 P 3.02
S 0.6583 0.1583 0.0000  6 Ba 3.00-3.36, 2 P 3.02
S 0.1583 0.3417 0.0000  6 Ba 3.00-3.36, 2 P 3.02
Ba 0.1601 0.6602 0.5000  6 S 3.00-3.36
Ba 0.6602 0.8398 0.5000  6 S 3.00-3.36
Ba 0.8398 0.3398 0.5000  6 S 3.00-3.36
Ba 0.3398 0.1601 0.5000  6 S 3.00-3.36

---

DFT (PBE-GGA) results for a relaxed structure of Ba2PS4.

Values from the calculation:
Total energy: -4.958 eV per atom

Lattice parameters (Å, degrees): 6.4897 6.7110 9.3753 90.00 111.44 90.00
Last column: nearest neighbours and their distance in Å.
Fractional positions:
Ba 0.7259 0.7500 0.0487  9 S 3.25-3.43, 1 P 3.41
Ba 0.2741 0.2500 0.9513  9 S 3.25-3.43, 1 P 3.41
Ba 0.2074 0.2500 0.4196  8 S 3.25-3.39
Ba 0.7926 0.7500 0.5804  8 S 3.25-3.39
P 0.2896 0.7500 0.2108  3 S 2.09-2.23
P 0.7104 0.2500 0.7892  3 S 2.09-2.23
S 0.5003 0.5033 0.2657  1 P 2.09
S 0.1615 0.7500 0.9365  1 P 2.40
S 0.8385 0.2500 0.0635  1 P 2.40
S 0.5003 0.9967 0.2657  1 P 2.09
S 0.8705 0.2500 0.6154  1 P 2.23
S 0.4997 0.0033 0.7343  1 P 2.09
S 0.4997 0.4967 0.7343  1 P 2.09
S 0.1295 0.7500 0.3846  1 P 2.23

---

DFT (PBE-GGA) results for a relaxed structure of Ba6P3S.

Values from the calculation:
Total energy: -4.286 eV per atom

Lattice parameters (Å, degrees): 7.7317 8.5465 11.7776 90.00 90.81 90.00
Last column: nearest neighbours and their distance in Å.
Fractional positions:
Ba 0.6839 0.1910 0.9159  1 S 3.09, 3 P 3.16-3.37
Ba 0.6826 0.1871 0.5829  3 P 3.10-3.38, 1 S 3.17
Ba 0.6574 0.4370 0.2483  3 P 3.20-3.34, 1 S 3.26
Ba 0.3426 0.5630 0.7517  3 P 3.20-3.34, 1 S 3.26
Ba 0.3174 0.8129 0.4171  3 P 3.10-3.38, 1 S 3.17
Ba 0.3161 0.8090 0.0841  1 S 3.09, 3 P 3.16-3.37
Ba 0.1839 0.3090 0.4159  1 S 3.09, 3 P 3.16-3.37
Ba 0.1826 0.3129 0.0829  3 P 3.10-3.38, 1 S 3.17
Ba 0.1574 0.0630 0.7483  3 P 3.20-3.34, 1 S 3.26
Ba 0.8426 0.9370 0.2517  3 P 3.20-3.34, 1 S 3.26
Ba 0.8174 0.6871 0.9171  3 P 3.10-3.38, 1 S 3.17
Ba 0.8161 0.6910 0.5841  1 S 3.09, 3 P 3.16-3.37
P 0.5510 0.9023 0.7489  6 Ba 3.29-3.38
P 0.5000 0.5000 0.0000  6 Ba 3.10-3.20
P 0.4490 0.0977 0.2511  6 Ba 3.29-3.38
P 0.0510 0.5977 0.2489  6 Ba 3.29-3.38
P 0.0000 0.0000 0.5000  6 Ba 3.10-3.20
P 0.9490 0.4023 0.7511  6 Ba 3.29-3.38
S 0.5000 0.5000 0.5000  6 Ba 3.09-3.26
S 0.0000 0.0000 0.0000  6 Ba 3.09-3.26

---

DFT (PBE-GGA) results for a relaxed structure of BaP3S.

Values from the calculation:
Total energy: -2.635 eV per atom

Lattice parameters (Å, degrees): 6.4613 6.4613 6.4613 90.00 90.00 90.00
Last column: nearest neighbours and their distance in Å.
Fractional positions:
P 0.0000 0.5000 0.0000  2 Ba 3.23
P 0.0000 0.0000 0.5000  2 Ba 3.23
P 0.5000 0.0000 0.0000  2 Ba 3.23
S 0.5000 0.5000 0.5000  12 P 4.57
Ba 0.0000 0.0000 0.0000  6 P 3.23

---

DFT (PBE-GGA) results for a relaxed structure of BaPS3.

Values from the calculation:
Total energy: -4.977 eV per atom

Lattice parameters (Å, degrees): 5.4049 8.4949 8.4092 71.80 84.43 53.11
Last column: nearest neighbours and their distance in Å.
Fractional positions:
Ba 0.8824 0.1141 0.6917  8 S 3.15-3.42
Ba 0.7968 0.6648 0.2232  7 S 3.15-3.42
P 0.6762 0.6273 0.6995  4 S 2.03-2.14
P 0.8699 0.2714 0.0995  3 S 2.10-2.22
S 0.5145 0.4736 0.8751  2 P 2.14-2.22
S 0.6654 0.8143 0.8082  1 P 2.04
S 0.5767 0.3653 0.2874  1 P 2.10
S 0.3420 0.7958 0.5004  1 P 2.03
S 0.0129 0.9805 0.0993  1 P 2.10
S 0.0865 0.4145 0.6268  1 P 2.04

---

| no. | uncorrected formation energy (eV per atom) |
| --- | --- |
| 1 | -0.8169 |
| 2 | 1.1342 |
| 3 | -0.6375 |
| 4 | -1.0875 |
| 5 | -1.2769 |
| 6 | -1.0964 |
| 7 | 1.8211 |
| 8 | -1.0336 |